Below is a relaxed structure of KAg3Hg3, with properties calculated at the PBE level.

```
data_KAg3Hg3
_symmetry_space_group_name_H-M 'P m -3 n'
_symmetry_Int_Tables_number 223
_symmetry_space_group_name_Hall '-P 4n 2 3'
_cell_length_a 7.853
_cell_length_b 7.853
_cell_length_c 7.853
_cell_angle_alpha 90.00
_cell_angle_beta 90.00
_cell_angle_gamma 90.00
loop_
_atom_site_label
_atom_site_type_symbol
_atom_site_fract_x
_atom_site_fract_y
_atom_site_fract_z
K1 K 0.000 0.000 0.000
Ag1 Ag 0.000 0.250 0.500
Hg1 Hg 0.000 0.500 0.250
```

Raw total energy ... -0.0983 Ry per atom
DOS at the Fermi energy ... 3.1 states/eV/f.u.